# ZrAlFe PBE relaxed
# energy of formation: -14 meV per atom
# energy: -0.50950 Ry/atom
# total magnetization: 0.00 μB/atom
data_ZrAlFe
_symmetry_space_group_name_H-M 'P 1'
_symmetry_Int_Tables_number 1
_symmetry_space_group_name_Hall 'P 1'
_cell_length_a 5.984
_cell_length_b 5.984
_cell_length_c 5.984
_cell_angle_alpha 90.00
_cell_angle_beta 90.00
_cell_angle_gamma 90.00
loop_
_atom_site_label
_atom_site_type_symbol
_atom_site_fract_x
_atom_site_fract_y
_atom_site_fract_z
Zr1 Zr 0.000 0.000 0.000
Zr2 Zr 0.000 0.500 0.500
Zr3 Zr 0.500 0.000 0.500
Zr4 Zr 0.500 0.500 0.000
Al1 Al 0.000 0.000 0.500
Al2 Al 0.000 0.500 0.000
Al3 Al 0.500 0.000 0.000
Al4 Al 0.500 0.500 0.500
Fe1 Fe 0.250 0.250 0.750
Fe2 Fe 0.250 0.750 0.250
Fe3 Fe 0.750 0.250 0.250
Fe4 Fe 0.750 0.750 0.750


# Ce2Er2Pt3 PBE relaxed
# energy of formation: -1034 meV per atom
# energy: -0.48674 Ry/atom
# total magnetization: 0.27 μB/atom
data_Ce2Er2Pt3
_symmetry_space_group_name_H-M 'P 1'
_symmetry_Int_Tables_number 1
_symmetry_space_group_name_Hall 'P 1'
_cell_length_a 7.590
_cell_length_b 7.590
_cell_length_c 7.590
_cell_angle_alpha 109.47
_cell_angle_beta 109.47
_cell_angle_gamma 109.47
loop_
_atom_site_label
_atom_site_type_symbol
_atom_site_fract_x
_atom_site_fract_y
_atom_site_fract_z
Ce1 Ce 0.000 0.376 0.500
Ce2 Ce 0.124 0.124 0.124
Ce3 Ce 0.376 0.500 0.000
Ce4 Ce 0.500 0.000 0.376
Er1 Er 0.000 0.874 0.500
Er2 Er 0.500 0.000 0.874
Er3 Er 0.626 0.626 0.626
Er4 Er 0.874 0.500 0.000
Pt1 Pt 0.115 0.750 0.865
Pt2 Pt 0.250 0.635 0.385
Pt3 Pt 0.385 0.250 0.635
Pt4 Pt 0.635 0.385 0.250
Pt5 Pt 0.750 0.865 0.115
Pt6 Pt 0.865 0.115 0.750


# LaHg2Br PBE relaxed
# energy: -0.18386 Ry/atom
# E_form (uncorrected): -701 meV/atom
# E above lowest polymorph: 0.005 eV per atom
# total magnetization: 0.00 μB/atom
data_LaHg2Br
_symmetry_space_group_name_H-M 'P 1'
_symmetry_Int_Tables_number 1
_symmetry_space_group_name_Hall 'P 1'
_cell_length_a 3.930
_cell_length_b 4.836
_cell_length_c 5.795
_cell_angle_alpha 90.00
_cell_angle_beta 90.00
_cell_angle_gamma 90.00
loop_
_atom_site_label
_atom_site_type_symbol
_atom_site_fract_x
_atom_site_fract_y
_atom_site_fract_z
La1 La 0.000 0.000 0.000
Hg1 Hg 0.000 0.500 0.500
Hg2 Hg 0.500 0.000 0.500
Br1 Br 0.500 0.500 0.000


# Th7GeC5 PBE relaxed
# energy of formation: -378 meV per atom
# energy: -0.60826 Ry/atom
# total magnetization: 0.00 μB/atom
data_Th7GeC5
_symmetry_space_group_name_H-M 'P 1'
_symmetry_Int_Tables_number 1
_symmetry_space_group_name_Hall 'P 1'
_cell_length_a 6.599
_cell_length_b 6.599
_cell_length_c 22.862
_cell_angle_alpha 90.00
_cell_angle_beta 90.00
_cell_angle_gamma 145.98
loop_
_atom_site_label
_atom_site_type_symbol
_atom_site_fract_x
_atom_site_fract_y
_atom_site_fract_z
Th1 Th 0.014 0.986 0.750
Th2 Th 0.136 0.864 0.033
Th3 Th 0.136 0.864 0.467
Th4 Th 0.319 0.681 0.666
Th5 Th 0.319 0.681 0.834
Th6 Th 0.414 0.586 0.103
Th7 Th 0.414 0.586 0.397
Th8 Th 0.586 0.414 0.603
Th9 Th 0.586 0.414 0.897
Th10 Th 0.681 0.319 0.166
Th11 Th 0.681 0.319 0.334
Th12 Th 0.864 0.136 0.533
Th13 Th 0.864 0.136 0.967
Th14 Th 0.986 0.014 0.250
Ge1 Ge 0.305 0.695 0.250
Ge2 Ge 0.695 0.305 0.750
C1 C 0.053 0.947 0.143
C2 C 0.053 0.947 0.357
C3 C 0.224 0.776 0.573
C4 C 0.224 0.776 0.927
C5 C 0.500 0.500 0.000
C6 C 0.500 0.500 0.500
C7 C 0.776 0.224 0.073
C8 C 0.776 0.224 0.427
C9 C 0.947 0.053 0.643
C10 C 0.947 0.053 0.857